Computed, not measured: crystalline MgTl2P at its relaxed geometry at the PBE-GGA level of DFT.

Summary:
Energy of formation ... 96 meV per atom
DOS(E_F) ... 0.954 states/eV/f.u.
E_tot ... -2.8383 eV/atom

```
data_MgTl2P
_symmetry_space_group_name_H-M 'I -4 2 d'
_symmetry_Int_Tables_number 122
_symmetry_space_group_name_Hall 'I -4 2bw'
_cell_length_a 8.356
_cell_length_b 8.356
_cell_length_c 5.846
_cell_angle_alpha 90.00
_cell_angle_beta 90.00
_cell_angle_gamma 90.00
loop_
_atom_site_label
_atom_site_type_symbol
_atom_site_fract_x
_atom_site_fract_y
_atom_site_fract_z
_atom_site_occupancy
Mg1 Mg 0.000 0.000 0.000 1
Tl1 Tl 0.209 0.750 0.625 1
P1 P 0.000 0.000 0.500 1
```